No. 1
The following is a PBE calculation of a relaxed TaBeReGe crystal, from the Open Quantum Materials Database.

Results
- Volume: 14.378 Å³/atom
- SG: F-43m (216)
- Final energy: -32.2 eV for the cell shown
- Mass density: 12958 kg/m³
- M_tot: 0.00 μB/f.u.

abc: 4.3327 4.3327 4.3327
angles: 60.00 60.00 60.00
Positions (direct):
Ta  0.0000  0.0000  0.0000
Be  0.2500  0.2500  0.2500
Re  0.7500  0.7500  0.7500
Ge  0.5000  0.5000  0.5000

No. 2
The following is a PBE calculation of a relaxed NbBiW crystal, from the Open Quantum Materials Database.

Results
- Volume: 22.966 Å³/atom
- SG: F-43m (216)
- Final energy: -24.5 eV for the cell shown
- Mass density: 11707 kg/m³
- M_tot: 0.00 μB/f.u.

abc: 4.6015 4.6015 4.6015
angles: 60.00 60.00 60.00
Positions (direct):
Nb  0.0000  0.0000  0.0000
Bi  0.5000  0.5000  0.5000
W  0.7500  0.7500  0.7500

No. 3
The following is a PBE calculation of a relaxed LiScCuS3 crystal, from the Open Quantum Materials Database.

Results
- Volume: 19.228 Å³/atom
- SG: P2_1/m (11)
- Final energy: -62.5 eV for the cell shown
- Mass density: 3046 kg/m³
- M_tot: 0.00 μB/f.u.

abc: 7.1854 3.6496 9.0977
angles: 90.00 104.72 90.00
Positions (direct):
Li  0.1738  0.2500  0.1413
Li  0.8262  0.7500  0.8587
Sc  0.3278  0.7500  0.8492
Sc  0.6722  0.2500  0.1508
Cu  0.0805  0.2500  0.5978
Cu  0.9195  0.7500  0.4022
S  0.0743  0.2500  0.8494
S  0.2397  0.7500  0.5463
S  0.4209  0.7500  0.1452
S  0.5791  0.2500  0.8548
S  0.7603  0.2500  0.4537
S  0.9257  0.7500  0.1506

> The lowest final energy belongs to which entry?

LiScCuS3